A geometry-optimized Sr4Li3Cd2 structure, computed with PBE.

## Properties
* energy of formation from the pure elements: -0.1309 eV per atom
* E_tot: -1.720 eV/atom

Unit cell a=4.458 b=8.028 c=9.496 alpha=107.03 beta=103.58 gamma=90.00
Fractional positions:
1 Sr 0.236 0.715 0.472
2 Sr 0.764 0.285 0.528
3 Sr 0.572 0.858 0.144
4 Sr 0.428 0.142 0.856
5 Li 0.097 0.229 0.193
6 Li 0.903 0.771 0.807
7 Li 0.000 0.500 0.000
8 Cd 0.397 0.547 0.793
9 Cd 0.603 0.453 0.207